# 1
A plane-wave DFT calculation with PBE-GGA was carried out for LiErTlCd after structural relaxation.

E_form = -293 meV per atom

Cell lengths 5.076, 5.076, 5.076 Å; angles 60.00, 60.00, 60.00 degrees
Element x y z (fractional)
Li  0.000  0.000  0.000
Er  0.500  0.500  0.500
Tl  0.250  0.250  0.250
Cd  0.750  0.750  0.750

# 2
A plane-wave DFT calculation with PBE-GGA was carried out for Ba2InCuAu6 after structural relaxation.

E_form = -431 meV per atom

Cell lengths 6.442, 7.044, 7.397 Å; angles 71.73, 64.24, 62.91 degrees
Element x y z (fractional)
Ba  0.241  0.307  0.209
Ba  0.759  0.693  0.791
In  0.000  0.000  0.000
Cu  0.500  0.500  0.500
Au  0.244  0.778  0.276
Au  0.255  0.873  0.621
Au  0.298  0.222  0.726
Au  0.702  0.778  0.274
Au  0.745  0.127  0.379
Au  0.756  0.222  0.724

- Which of these has the lowest E_form?
  Ba2InCuAu6

- What is the E_form in the first record?
  -293 meV per atom

- E_form of number 1 (LiErTlCd)?
  -293 meV per atom